Entry 1:
This record from Alexandria via LeMat-Bulk describes TcAs after structural relaxation. The functional is GGA-PBE.

Cell: 3.0367 4.6025 4.3509 Å, 90.00 90.00 90.00°
Sites, in units of the cell vectors:
Tc  0.5000  0.0000  0.5259
Tc  0.0000  0.5000  0.3074
As  0.5000  0.5000  0.7863
As  0.0000  0.0000  0.0470

Summary:
- space group = Pmmn
- polymorph energy (0 for the lowest one) (meV per atom) = 112

***

Entry 2:
This record from Alexandria via LeMat-Bulk describes TcAs after structural relaxation. The functional is GGA-PBE.

Cell: 5.6590 4.6295 9.7818 Å, 90.00 90.00 90.00°
Sites, in units of the cell vectors:
Tc  0.1710  0.9033  0.7541
Tc  0.8290  0.4033  0.7459
Tc  0.8385  0.8770  0.9646
Tc  0.1615  0.3770  0.5354
Tc  0.3290  0.0967  0.2541
Tc  0.6710  0.5967  0.2459
Tc  0.6615  0.1230  0.4646
Tc  0.3385  0.6230  0.0354
As  0.7806  0.6165  0.5076
As  0.2806  0.8835  0.4924
As  0.7194  0.3835  0.0076
As  0.1478  0.5853  0.2668
As  0.2194  0.1165  0.9924
As  0.8522  0.0853  0.2332
As  0.3522  0.4148  0.7668
As  0.6478  0.9148  0.7332

Summary:
- space group = P2_12_12_1
- polymorph energy (0 for the lowest one) (meV per atom) = 216

***

Entry 3:
This record from Alexandria via LeMat-Bulk describes TcAs after structural relaxation. The functional is GGA-PBE.

Cell: 6.7977 6.7977 6.7977 Å, 90.00 90.00 90.00°
Sites, in units of the cell vectors:
Tc  0.2500  0.5000  0.0000
Tc  0.0000  0.2500  0.5000
Tc  0.0000  0.7500  0.5000
Tc  0.5000  0.0000  0.2500
Tc  0.7500  0.5000  0.0000
Tc  0.5000  0.0000  0.7500
As  0.2500  0.0000  0.5000
As  0.0000  0.5000  0.7500
As  0.5000  0.7500  0.0000
As  0.0000  0.5000  0.2500
As  0.5000  0.2500  0.0000
As  0.7500  0.0000  0.5000

Summary:
- space group = Pm-3n
- polymorph energy (0 for the lowest one) (meV per atom) = 784

***

Entry 4:
This record from Alexandria via LeMat-Bulk describes Tc3As after structural relaxation. The functional is GGA-PBE.

Cell: 4.8379 4.8379 4.4776 Å, 84.64 84.64 34.71°
Sites, in units of the cell vectors:
Tc  0.5000  0.5000  0.5000
Tc  0.2360  0.2360  0.2611
Tc  0.7640  0.7640  0.7389
As  0.0000  0.0000  0.0000

Summary:
- space group = C2/m
- polymorph energy (0 for the lowest one) (meV per atom) = 148

***

Entry 5:
This record from Alexandria via LeMat-Bulk describes Tc5As4 after structural relaxation. The functional is GGA-PBE.

Cell: 7.0969 7.0969 7.0969 Å, 92.73 92.73 154.80°
Sites, in units of the cell vectors:
As  0.7042  0.0000  0.7042
As  0.2958  0.0000  0.2958
As  0.0000  0.2958  0.2958
As  0.0000  0.7042  0.7042
Tc  0.0000  0.0000  0.0000
Tc  0.3419  0.6581  0.0000
Tc  0.3419  0.3419  0.6838
Tc  0.6581  0.6581  0.3162
Tc  0.6581  0.3419  0.0000

Summary:
- space group = I4/mmm
- polymorph energy (0 for the lowest one) (meV per atom) = 0

***

Entry 6:
This record from Alexandria via LeMat-Bulk describes Tc2As after structural relaxation. The functional is GGA-PBE.

Cell: 2.8587 2.8587 6.3547 Å, 90.00 90.00 120.00°
Sites, in units of the cell vectors:
As  0.0000  0.0000  0.0000
Tc  0.3333  0.6667  0.3383
Tc  0.6667  0.3333  0.6617

Summary:
- space group = P-3m1
- polymorph energy (0 for the lowest one) (meV per atom) = 198

***

Entry 7:
This record from Alexandria via LeMat-Bulk describes Tc2As5 after structural relaxation. The functional is GGA-PBE.

Cell: 6.2460 6.2843 7.1439 Å, 102.14 115.92 90.00°
Sites, in units of the cell vectors:
As  0.4312  0.2522  0.6017
As  0.4558  0.7500  0.0000
As  0.8295  0.2478  0.3983
As  0.5442  0.2500  0.0000
As  0.9704  0.9579  0.1764
As  0.1705  0.7522  0.6017
As  0.0296  0.0421  0.8236
As  0.7940  0.5421  0.8236
As  0.2060  0.4579  0.1764
As  0.5688  0.7478  0.3983
Tc  0.1568  0.4144  0.7774
Tc  0.8432  0.5856  0.2226
Tc  0.3794  0.0856  0.2226
Tc  0.6206  0.9144  0.7774

Summary:
- space group = C2/c
- total energy (eV/atom) = -6.395

***

Entry 8:
This record from Alexandria via LeMat-Bulk describes Tc5As3 after structural relaxation. The functional is GGA-PBE.

Cell: 7.0272 7.3689 7.2062 Å, 99.63 97.29 134.87°
Sites, in units of the cell vectors:
Tc  0.2712  0.7825  0.5000
Tc  0.5663  0.2672  0.8063
Tc  0.7614  0.2497  0.5000
Tc  0.2600  0.9609  0.1937
Tc  0.3456  0.5085  0.7350
Tc  0.4972  0.7972  0.1943
Tc  0.8029  0.1029  0.8057
Tc  0.7047  0.5407  0.2690
Tc  0.1106  0.2735  0.2650
Tc  0.9357  0.7717  0.7310
As  0.6006  0.7385  0.5000
As  0.7847  0.7810  0.0303
As  0.7633  0.2608  0.1342
As  0.1291  0.6266  0.8658
As  0.2544  0.2507  0.9697
As  0.2056  0.0877  0.5000

Summary:
- space group = Cm
- polymorph energy (0 for the lowest one) (meV per atom) = 0

***

Entry 9:
This record from Alexandria via LeMat-Bulk describes Tc6As7 after structural relaxation. The functional is GGA-PBE.

Cell: 9.5638 9.5638 9.5638 Å, 31.77 31.77 31.77°
Sites, in units of the cell vectors:
As  0.9236  0.4210  0.4210
As  0.5000  0.5000  0.5000
As  0.5790  0.0764  0.5790
As  0.5790  0.5790  0.0764
As  0.0764  0.5790  0.5790
As  0.4210  0.4210  0.9236
As  0.4210  0.9236  0.4210
Tc  0.8224  0.8224  0.8224
Tc  0.0485  0.0485  0.0485
Tc  0.3292  0.3292  0.3292
Tc  0.9515  0.9515  0.9515
Tc  0.1776  0.1776  0.1776
Tc  0.6708  0.6708  0.6708

Summary:
- space group = R-3m
- total energy (eV/atom) = -6.629

***

Entry 10:
This record from Alexandria via LeMat-Bulk describes TcAs after structural relaxation. The functional is GGA-PBE.

Cell: 4.6111 4.6111 6.8888 Å, 79.02 79.02 40.22°
Sites, in units of the cell vectors:
As  0.0588  0.0588  0.9787
As  0.3839  0.3839  0.7443
As  0.2832  0.2832  0.3549
Tc  0.7588  0.7588  0.0646
Tc  0.9998  0.9998  0.3648
Tc  0.6822  0.6822  0.6594

Summary:
- space group = Cm
- polymorph energy (0 for the lowest one) (meV per atom) = 122

***

Entry 11:
This record from Alexandria via LeMat-Bulk describes TcAs after structural relaxation. The functional is GGA-PBE.

Cell: 3.2503 3.2503 5.8255 Å, 90.00 90.00 90.00°
Sites, in units of the cell vectors:
As  0.5000  0.5000  0.2778
As  0.0000  0.0000  0.9722
Tc  0.0000  0.0000  0.4483
Tc  0.5000  0.5000  0.8017

Summary:
- space group = P4/nmm
- polymorph energy (0 for the lowest one) (meV per atom) = 204

***

Entry 12:
This record from Alexandria via LeMat-Bulk describes TcAs after structural relaxation. The functional is GGA-PBE.

Cell: 3.0070 3.0070 3.9988 Å, 90.00 90.00 119.18°
Sites, in units of the cell vectors:
As  0.0000  0.0000  0.0000
Tc  0.5000  0.5000  0.5000

Summary:
- space group = Cmmm
- polymorph energy (0 for the lowest one) (meV per atom) = 517

***

Computed magnetic moment, in the same sequence as the records: 0.000, 0.000, 0.456, 0.000, 0.004, 0.000, 0.000, 0.000, 0.002, 0.000, 0.000, 0.000 μB per formula unit.
Computed ρ, in the same sequence as the records: 9.44, 8.96, 5.48, 10.31, 8.83, 10.00, 7.73, 9.72, 8.57, 9.30, 9.33, 9.10 g/cm3.